This record from Alexandria via LeMat-Bulk describes crystalline Ce2TlPb at its relaxed geometry. The functional is GGA-PBE.

Lattice parameters (Å, degrees): 5.0165 5.0165 4.6277 90.00 90.00 90.00
Closest atoms and distances in Å follow each position.
Space group P4/mmm (No. 123)
Unique sites:
Ce  0.0000  0.5000  0.0000  4 Tl 3.41, 4 Pb 3.41, 4 Ce 3.55
Tl  0.0000  0.0000  0.5000  8 Ce 3.41, 4 Pb 3.55
Pb  0.5000  0.5000  0.5000  8 Ce 3.41, 4 Tl 3.55

***

This record from Alexandria via LeMat-Bulk describes crystalline Ce3TlPb at its relaxed geometry. The functional is GGA-PBE.

Lattice parameters (Å, degrees): 4.6225 4.7236 13.2150 90.00 99.61 90.00
Closest atoms and distances in Å follow each position.
Space group P2_1/m (No. 11)
Unique sites:
Ce  0.0397  0.2500  0.0810  2 Ce 3.17, 5 Pb 3.34-3.53
Ce  0.1333  0.7500  0.3090  4 Ce 3.15-3.47, 2 Pb 3.30-3.37, 4 Tl 3.35-3.44
Ce  0.3152  0.7500  0.6878  4 Ce 3.15-3.47, 4 Tl 3.32-3.41, 2 Pb 3.40
Tl  0.2616  0.2500  0.4998  4 Tl 3.23-3.38, 8 Ce 3.32-3.44
Pb  0.4438  0.2500  0.8750  10 Ce 3.30-3.55

***

This record from Alexandria via LeMat-Bulk describes crystalline Ce4Tl3Pb at its relaxed geometry. The functional is GGA-PBE.

Computed properties:
ΔE to the lowest computed polymorph	0	meV/atom

Lattice parameters (Å, degrees): 5.9023 5.9023 13.3881 90.00 90.00 90.00
Closest atoms and distances in Å follow each position.
Space group I4/mmm (No. 139)
Unique sites:
Ce  0.0000  0.5000  0.1247  2 Ce 3.34-3.35, 6 Tl 3.38-3.41, 2 Pb 3.39
Tl  0.0000  0.0000  0.0000  2 Tl 3.32, 8 Ce 3.39
Tl  0.0000  0.0000  0.2480  1 Tl 3.32, 1 Pb 3.37, 8 Ce 3.38-3.41
Pb  0.0000  0.0000  0.5000  2 Tl 3.37, 8 Ce 3.39

***

This record from Alexandria via LeMat-Bulk describes crystalline Ce8Tl3Pb4 at its relaxed geometry. The functional is GGA-PBE.

Lattice parameters (Å, degrees): 13.0705 12.9249 6.5199 90.00 119.64 90.00
Closest atoms and distances in Å follow each position.
Space group C2/m (No. 12)
Unique sites:
Ce  0.0000  0.1659  0.0000  4 Ce 3.44-3.85, 2 Tl 3.44, 2 Pb 3.46
Ce  0.0000  0.2505  0.5000  3 Tl 3.22-3.28, 3 Pb 3.24-3.27, 2 Ce 3.44
Ce  0.2465  0.0000  0.0088  2 Ce 3.16-3.36, 3 Tl 3.23-3.28, 2 Pb 3.29-3.34
Ce  0.2501  0.0000  0.4973  2 Ce 3.16-3.36, 4 Pb 3.23-3.29, 1 Tl 3.26
Tl  0.0000  0.5000  0.5000  6 Ce 3.22-3.28, 2 Pb 3.26
Tl  0.2500  0.2500  0.0000  6 Ce 3.23-3.44, 2 Pb 3.26
Pb  0.0000  0.0000  0.5000  6 Ce 3.24-3.29
Pb  0.0000  0.5000  0.0000  2 Tl 3.26, 4 Ce 3.29-3.34
Pb  0.2500  0.2500  0.5000  6 Ce 3.23-3.46, 2 Tl 3.26

***

Number 1: magnetization 2.723 Bohr magnetons per cell, formation energy -0.33 eV per atom. Number 2: magnetization 5.595 Bohr magnetons per cell, formation energy -0.26 eV per atom. Number 3: magnetization 10.197 Bohr magnetons per cell, formation energy -0.26 eV per atom. Number 4: magnetization 21.695 Bohr magnetons per cell, formation energy -0.08 eV per atom.